*1*
{"formula": "DyY4In", "functional": "PBE-GGA", "state": "relaxed", "cell": [[5.494, 0.000, 0.000], [0.000, 6.875, 0.000], [0.000, 0.000, 9.654]], "species": ["Dy", "Dy", "Y", "Y", "Y", "Y", "Y", "Y", "Y", "Y", "In", "In"], "frac_coords": [[0.250, 0.250, 0.073], [0.750, 0.750, 0.927], [0.250, 0.250, 0.419], [0.250, 0.505, 0.748], [0.250, 0.750, 0.107], [0.250, 0.995, 0.748], [0.750, 0.005, 0.252], [0.750, 0.250, 0.893], [0.750, 0.495, 0.252], [0.750, 0.750, 0.581], [0.250, 0.750, 0.428], [0.750, 0.250, 0.572]], "magnetic_moment_mub_per_atom": 0.0005, "crystal_system": "orthorhombic", "spacegroup": "Pmmn, No. 59"}

*2*
{"formula": "DyY4In", "functional": "PBE-GGA", "state": "relaxed", "cell": [[3.587, 0.000, 0.000], [0.000, 3.587, 0.000], [0.000, 0.000, 14.257]], "species": ["Dy", "Y", "Y", "Y", "Y", "In"], "frac_coords": [[0.000, 0.000, 0.000], [0.000, 0.000, 0.354], [0.000, 0.000, 0.646], [0.500, 0.500, 0.175], [0.500, 0.500, 0.825], [0.500, 0.500, 0.500]], "magnetic_moment_mub_per_atom": 0.0000, "crystal_system": "tetragonal", "spacegroup": "P4/mmm, No. 123"}

Which one sits at the bottom of the stability order? *1* does.

*1*
{"formula": "Dy2Y3In4", "functional": "PBE-GGA", "state": "relaxed", "cell": [[3.529, -7.816, 0.000], [3.529, 7.816, 0.000], [0.000, 0.000, 9.614]], "species": ["Dy", "Dy", "Dy", "Dy", "Y", "Y", "Y", "Y", "Y", "Y", "In", "In", "In", "In", "In", "In", "In", "In"], "frac_coords": [[0.108, 0.892, 0.950], [0.392, 0.608, 0.450], [0.608, 0.392, 0.550], [0.892, 0.108, 0.050], [0.000, 0.000, 0.500], [0.035, 0.465, 0.750], [0.465, 0.035, 0.250], [0.500, 0.500, 0.000], [0.535, 0.965, 0.750], [0.965, 0.535, 0.250], [0.194, 0.806, 0.527], [0.237, 0.263, 0.750], [0.263, 0.237, 0.250], [0.306, 0.694, 0.027], [0.694, 0.306, 0.973], [0.737, 0.763, 0.750], [0.763, 0.737, 0.250], [0.806, 0.194, 0.473]], "magnetic_moment_mub_per_atom": 0.0000, "crystal_system": "orthorhombic", "spacegroup": "Cmce, No. 64"}

*2*
{"formula": "Dy2Y3In4", "functional": "PBE-GGA", "state": "relaxed", "cell": [[4.568, -2.640, 0.000], [4.568, 2.640, 0.000], [-0.016, 0.000, 10.243]], "species": ["Dy", "Dy", "Y", "Y", "Y", "In", "In", "In", "In"], "frac_coords": [[0.167, 0.167, 0.278], [0.833, 0.833, 0.722], [0.167, 0.167, 0.924], [0.500, 0.500, 0.500], [0.833, 0.833, 0.076], [0.166, 0.166, 0.601], [0.500, 0.500, 0.154], [0.500, 0.500, 0.846], [0.834, 0.834, 0.399]], "magnetic_moment_mub_per_atom": 0.0000, "crystal_system": "monoclinic", "spacegroup": "C2/m, No. 12"}

Which one sits at the bottom of the stability order? *1* does.

*1*
{"formula": "Dy3Y2In", "functional": "PBE-GGA", "state": "relaxed", "cell": [[-2.874, 3.204, 5.088], [2.874, -3.204, 5.088], [2.874, 3.204, -5.088]], "species": ["Dy", "Dy", "Dy", "Y", "Y", "In"], "frac_coords": [[0.000, 0.000, 0.000], [0.347, 0.347, 0.000], [0.653, 0.653, 0.000], [0.186, 0.686, 0.500], [0.814, 0.314, 0.500], [0.500, 0.000, 0.500]], "magnetic_moment_mub_per_atom": 0.0005, "crystal_system": "orthorhombic", "spacegroup": "Immm, No. 71"}

*2*
{"formula": "Dy3Y2In", "functional": "PBE-GGA", "state": "relaxed", "cell": [[2.430, -7.542, 0.000], [2.430, 7.542, 0.000], [0.000, 0.000, 4.892]], "species": ["Dy", "Dy", "Dy", "Y", "Y", "In"], "frac_coords": [[0.000, 0.000, 0.000], [0.332, 0.668, 0.000], [0.668, 0.332, 0.000], [0.161, 0.839, 0.500], [0.839, 0.161, 0.500], [0.500, 0.500, 0.500]], "magnetic_moment_mub_per_atom": 0.0000, "crystal_system": "orthorhombic", "spacegroup": "Cmmm, No. 65"}

Which one sits at the bottom of the stability order? *1* does.

*1*
{"formula": "Dy2YIn", "functional": "PBE-GGA", "state": "relaxed", "cell": [[3.587, 0.000, 0.000], [0.000, 3.587, 0.000], [0.000, 0.000, 9.226]], "species": ["Dy", "Dy", "Y", "In"], "frac_coords": [[0.000, 0.000, 0.226], [0.000, 0.000, 0.774], [0.500, 0.500, 0.500], [0.500, 0.500, 0.000]], "magnetic_moment_mub_per_atom": 0.0000, "crystal_system": "tetragonal", "spacegroup": "P4/mmm, No. 123"}

*2*
{"formula": "Dy2YIn", "functional": "PBE-GGA", "state": "relaxed", "cell": [[4.839, 0.000, 0.000], [0.000, 4.839, 0.000], [0.000, 0.000, 4.871]], "species": ["Dy", "Dy", "Y", "In"], "frac_coords": [[0.000, 0.500, 0.000], [0.500, 0.000, 0.000], [0.000, 0.000, 0.500], [0.500, 0.500, 0.500]], "magnetic_moment_mub_per_atom": 0.0789, "crystal_system": "tetragonal", "spacegroup": "P4/mmm, No. 123"}

Which one sits at the bottom of the stability order? *1* does.

*1*
{"formula": "DyYIn6", "functional": "PBE-GGA", "state": "relaxed", "cell": [[4.640, 0.000, 0.000], [0.000, 4.640, 0.000], [0.000, 0.000, 9.284]], "species": ["Dy", "Y", "In", "In", "In", "In", "In", "In"], "frac_coords": [[0.000, 0.000, 0.000], [0.000, 0.000, 0.500], [0.000, 0.500, 0.249], [0.000, 0.500, 0.751], [0.500, 0.000, 0.249], [0.500, 0.000, 0.751], [0.500, 0.500, 0.000], [0.500, 0.500, 0.500]], "magnetic_moment_mub_per_atom": 0.0000, "crystal_system": "tetragonal", "spacegroup": "P4/mmm, No. 123"}

*2*
{"formula": "DyYIn6", "functional": "PBE-GGA", "state": "relaxed", "cell": [[6.608, 0.000, 0.000], [-3.304, 5.723, 0.000], [0.000, 0.000, 5.315]], "species": ["Dy", "Y", "In", "In", "In", "In", "In", "In"], "frac_coords": [[0.000, 0.000, 0.000], [0.333, 0.667, 0.500], [0.343, 0.171, 0.500], [0.505, 0.010, 0.000], [0.505, 0.495, 0.000], [0.829, 0.171, 0.500], [0.829, 0.657, 0.500], [0.990, 0.495, 0.000]], "magnetic_moment_mub_per_atom": 0.0000, "crystal_system": "hexagonal", "spacegroup": "P-6m2, No. 187"}

Which one sits at the bottom of the stability order? *2* does.

*1*
{"formula": "DyY2In2", "functional": "PBE-GGA", "state": "relaxed", "cell": [[3.767, 0.000, 0.000], [0.000, 5.345, 0.000], [-1.887, 0.000, 13.848]], "species": ["Dy", "Dy", "Y", "Y", "Y", "Y", "In", "In", "In", "In"], "frac_coords": [[0.148, 0.250, 0.297], [0.852, 0.750, 0.703], [0.048, 0.750, 0.096], [0.237, 0.750, 0.474], [0.763, 0.250, 0.526], [0.952, 0.250, 0.904], [0.357, 0.250, 0.712], [0.450, 0.750, 0.900], [0.550, 0.250, 0.100], [0.643, 0.750, 0.288]], "magnetic_moment_mub_per_atom": 0.0000, "crystal_system": "monoclinic", "spacegroup": "P2_1/m, No. 11"}

*2*
{"formula": "DyY2In2", "functional": "PBE-GGA", "state": "relaxed", "cell": [[2.693, -8.016, 0.000], [2.693, 8.016, 0.000], [0.000, 0.000, 6.512]], "species": ["Dy", "Dy", "Y", "Y", "Y", "Y", "In", "In", "In", "In"], "frac_coords": [[0.097, 0.903, 0.500], [0.903, 0.097, 0.000], [0.302, 0.698, 0.735], [0.472, 0.528, 0.300], [0.528, 0.472, 0.800], [0.698, 0.302, 0.235], [0.102, 0.898, 0.015], [0.285, 0.715, 0.223], [0.715, 0.285, 0.723], [0.898, 0.102, 0.515]], "magnetic_moment_mub_per_atom": 0.0000, "crystal_system": "orthorhombic", "spacegroup": "Cmc2_1, No. 36"}

Which one sits at the bottom of the stability order? *2* does.

*1*
{"formula": "Dy4Y7In", "functional": "PBE-GGA", "state": "relaxed", "cell": [[8.746, -2.886, 0.000], [8.746, 2.886, 0.000], [-3.878, 0.000, 7.620]], "species": ["Dy", "Dy", "Dy", "Dy", "Y", "Y", "Y", "Y", "Y", "Y", "Y", "In"], "frac_coords": [[0.040, 0.040, 0.201], [0.184, 0.184, 0.721], [0.816, 0.816, 0.279], [0.960, 0.960, 0.799], [0.000, 0.000, 0.500], [0.206, 0.206, 0.127], [0.338, 0.338, 0.589], [0.408, 0.408, 0.077], [0.592, 0.592, 0.923], [0.662, 0.662, 0.411], [0.794, 0.794, 0.873], [0.500, 0.500, 0.500]], "magnetic_moment_mub_per_atom": 0.0000, "crystal_system": "monoclinic", "spacegroup": "C2/m, No. 12"}

*2*
{"formula": "Dy4Y7In", "functional": "PBE-GGA", "state": "relaxed", "cell": [[6.055, -2.916, 0.000], [6.055, 2.916, 0.000], [-4.586, 0.000, 11.312]], "species": ["Dy", "Dy", "Dy", "Dy", "Y", "Y", "Y", "Y", "Y", "Y", "Y", "In"], "frac_coords": [[0.120, 0.120, 0.269], [0.366, 0.366, 0.884], [0.634, 0.634, 0.116], [0.880, 0.880, 0.731], [0.000, 0.000, 0.500], [0.133, 0.133, 0.972], [0.297, 0.297, 0.584], [0.396, 0.396, 0.225], [0.604, 0.604, 0.775], [0.703, 0.703, 0.416], [0.867, 0.867, 0.028], [0.500, 0.500, 0.500]], "magnetic_moment_mub_per_atom": 0.0000, "crystal_system": "monoclinic", "spacegroup": "C2/m, No. 12"}

Which one sits at the bottom of the stability order? *1* does.

*1*
{"formula": "Dy3Y2In4", "functional": "PBE-GGA", "state": "relaxed", "cell": [[3.532, -8.003, 0.000], [3.532, 8.003, 0.000], [0.000, 0.000, 9.332]], "species": ["Dy", "Dy", "Dy", "Dy", "Dy", "Dy", "Y", "Y", "Y", "Y", "In", "In", "In", "In", "In", "In", "In", "In"], "frac_coords": [[0.000, 0.000, 0.000], [0.036, 0.464, 0.250], [0.464, 0.036, 0.750], [0.500, 0.500, 0.500], [0.536, 0.964, 0.250], [0.964, 0.536, 0.750], [0.110, 0.890, 0.435], [0.390, 0.610, 0.935], [0.610, 0.390, 0.065], [0.890, 0.110, 0.565], [0.190, 0.810, 0.034], [0.229, 0.271, 0.250], [0.271, 0.229, 0.750], [0.310, 0.690, 0.534], [0.690, 0.310, 0.466], [0.729, 0.771, 0.250], [0.771, 0.729, 0.750], [0.810, 0.190, 0.966]], "magnetic_moment_mub_per_atom": 0.0000, "crystal_system": "orthorhombic", "spacegroup": "Cmce, No. 64"}

*2*
{"formula": "Dy3Y2In4", "functional": "PBE-GGA", "state": "relaxed", "cell": [[4.564, -2.637, 0.000], [4.564, 2.637, 0.000], [-0.009, 0.000, 10.243]], "species": ["Dy", "Dy", "Dy", "Y", "Y", "In", "In", "In", "In"], "frac_coords": [[0.000, 0.000, 0.000], [0.333, 0.333, 0.575], [0.667, 0.667, 0.425], [0.333, 0.333, 0.223], [0.667, 0.667, 0.777], [0.000, 0.000, 0.346], [0.000, 0.000, 0.654], [0.333, 0.333, 0.899], [0.667, 0.667, 0.101]], "magnetic_moment_mub_per_atom": 0.0000, "crystal_system": "monoclinic", "spacegroup": "C2/m, No. 12"}

Which one sits at the bottom of the stability order? *1* does.

*1*
{"formula": "Dy6Y12In", "functional": "PBE-GGA", "state": "relaxed", "cell": [[5.929, 3.423, 5.009], [-5.929, 3.423, 5.009], [0.000, -6.846, 5.009]], "species": ["Dy", "Dy", "Dy", "Dy", "Dy", "Dy", "Y", "Y", "Y", "Y", "Y", "Y", "Y", "Y", "Y", "Y", "Y", "Y", "In"], "frac_coords": [[0.207, 0.596, 0.758], [0.242, 0.793, 0.404], [0.404, 0.242, 0.793], [0.596, 0.758, 0.207], [0.758, 0.207, 0.596], [0.793, 0.404, 0.242], [0.039, 0.281, 0.934], [0.066, 0.961, 0.719], [0.137, 0.319, 0.487], [0.281, 0.934, 0.039], [0.319, 0.487, 0.137], [0.487, 0.137, 0.319], [0.513, 0.863, 0.681], [0.681, 0.513, 0.863], [0.719, 0.066, 0.961], [0.863, 0.681, 0.513], [0.934, 0.039, 0.281], [0.961, 0.719, 0.066], [0.500, 0.500, 0.500]], "magnetic_moment_mub_per_atom": 0.0000, "crystal_system": "trigonal", "spacegroup": "R-3, No. 148"}

*2*
{"formula": "Dy6Y12In", "functional": "PBE-GGA", "state": "relaxed", "cell": [[6.453, 3.726, 4.282], [-6.453, 3.726, 4.282], [0.000, -7.452, 4.282]], "species": ["Dy", "Dy", "Dy", "Dy", "Dy", "Dy", "Y", "Y", "Y", "Y", "Y", "Y", "Y", "Y", "Y", "Y", "Y", "Y", "In"], "frac_coords": [[0.093, 0.365, 0.365], [0.365, 0.093, 0.365], [0.365, 0.365, 0.093], [0.635, 0.635, 0.907], [0.635, 0.907, 0.635], [0.907, 0.635, 0.635], [0.080, 0.080, 0.672], [0.080, 0.672, 0.080], [0.240, 0.500, 0.760], [0.240, 0.760, 0.500], [0.328, 0.920, 0.920], [0.500, 0.240, 0.760], [0.500, 0.760, 0.240], [0.672, 0.080, 0.080], [0.760, 0.240, 0.500], [0.760, 0.500, 0.240], [0.920, 0.328, 0.920], [0.920, 0.920, 0.328], [0.500, 0.500, 0.500]], "magnetic_moment_mub_per_atom": 0.0000, "crystal_system": "trigonal", "spacegroup": "R-3m, No. 166"}

Which one sits at the bottom of the stability order? *2* does.

*1*
{"formula": "Dy8Zn2In", "functional": "PBE-GGA", "state": "relaxed", "cell": [[4.378, -6.986, 0.000], [4.378, 6.986, 0.000], [-1.738, 0.000, 5.099]], "species": ["Dy", "Dy", "Dy", "Dy", "Dy", "Dy", "Dy", "Dy", "Zn", "Zn", "In"], "frac_coords": [[0.085, 0.327, 0.598], [0.232, 0.768, 0.000], [0.327, 0.085, 0.598], [0.395, 0.395, 0.196], [0.605, 0.605, 0.804], [0.673, 0.915, 0.402], [0.768, 0.232, 0.000], [0.915, 0.673, 0.402], [0.308, 0.692, 0.500], [0.692, 0.308, 0.500], [0.000, 0.000, 0.000]], "magnetic_moment_mub_per_atom": 0.0001, "crystal_system": "monoclinic", "spacegroup": "C2/m, No. 12"}

*2*
{"formula": "Dy8Zn2In", "functional": "PBE-GGA", "state": "relaxed", "cell": [[8.059, -2.584, 0.000], [8.059, 2.584, 0.000], [-3.961, 0.000, 7.257]], "species": ["Dy", "Dy", "Dy", "Dy", "Dy", "Dy", "Dy", "Dy", "Zn", "Zn", "In"], "frac_coords": [[0.065, 0.065, 0.225], [0.149, 0.149, 0.709], [0.314, 0.314, 0.536], [0.396, 0.396, 0.036], [0.604, 0.604, 0.964], [0.686, 0.686, 0.464], [0.851, 0.851, 0.291], [0.935, 0.935, 0.775], [0.219, 0.219, 0.118], [0.781, 0.781, 0.882], [0.500, 0.500, 0.500]], "magnetic_moment_mub_per_atom": 0.0000, "crystal_system": "monoclinic", "spacegroup": "C2/m, No. 12"}

Which one sits at the bottom of the stability order? *1* does.